# PmSn3Pd4, optimized geometry, DFT PBE
# * space group: R-3m
# * E_tot: -42.4 eV per cell
# * calculated formation energy: -612 meV/atom
data_PmSn3Pd4
_chemical_formula_sum 'Pm1 Sn3 Pd4'
_space_group_name_H-M_alt 'P 1'
_space_group_IT_number 1
_space_group_name_Hall 'P 1'
_cell_length_a 9.185
_cell_length_b 9.185
_cell_length_c 9.185
_cell_angle_alpha 29.11
_cell_angle_beta 29.11
_cell_angle_gamma 29.11
loop_
_atom_site_label
_atom_site_type_symbol
_atom_site_fract_x
_atom_site_fract_y
_atom_site_fract_z
Pm1 Pm 0.000 0.000 0.000
Sn1 Sn 0.253 0.253 0.253
Sn2 Sn 0.500 0.500 0.500
Sn3 Sn 0.747 0.747 0.747
Pd1 Pd 0.136 0.136 0.136
Pd2 Pd 0.397 0.397 0.397
Pd3 Pd 0.603 0.603 0.603
Pd4 Pd 0.864 0.864 0.864